(1)
Density functional theory data (meta-GGA SCAN) for Zr2ScRe at its PBEsol-relaxed geometry.

Lattice parameters (Å, degrees): 5.5204 5.5204 5.5204 137.15 137.15 62.21
With the nearest neighbours (Å) after each atom.
Positions (direct):
Zr 0.0000 0.0000 0.0000  4 Re 2.85, 4 Zr 3.11, 4 Sc 3.11
Zr 0.7500 0.2500 0.5000  4 Sc 2.85, 4 Zr 3.11, 4 Re 3.11
Sc 0.2500 0.7500 0.5000  8 Zr 2.85-3.11, 4 Re 3.11
Re 0.5000 0.5000 0.0000  8 Zr 2.85-3.11, 4 Sc 3.11

(2)
Density functional theory data (meta-GGA SCAN) for Zn3B7IO13 at its PBEsol-relaxed geometry.

Summary:
**ΔE to the lowest computed polymorph**: 0.000 eV/atom
**Formation energy (no corrections)**: -2.32 eV/atom

Lattice parameters (Å, degrees): 8.5960 8.5941 12.1611 90.00 90.00 90.00
With the nearest neighbours (Å) after each atom.
Positions (direct):
Zn 0.0104 0.0267 0.0000  4 O 2.05-2.11
Zn 0.0108 0.4738 0.0031  4 O 2.03-2.10
Zn 0.2407 0.2510 0.2760  4 O 2.01-2.10
Zn 0.2593 0.2510 0.7760  4 O 2.01-2.10
Zn 0.4892 0.4738 0.5031  4 O 2.03-2.10
Zn 0.4896 0.0267 0.5000  4 O 2.05-2.11
Zn 0.5104 0.9733 0.0000  4 O 2.05-2.11
Zn 0.5108 0.5262 0.0031  4 O 2.03-2.10
Zn 0.7407 0.7490 0.2760  4 O 2.01-2.10
Zn 0.7593 0.7490 0.7760  4 O 2.01-2.10
Zn 0.9892 0.5262 0.5031  4 O 2.03-2.10
Zn 0.9896 0.9733 0.5000  4 O 2.05-2.11
B 0.0004 0.0021 0.7535  4 O 1.46-1.49
B 0.9996 0.9979 0.2535  4 O 1.46-1.49
B 0.0006 0.4970 0.7543  4 O 1.46-1.50
B 0.0490 0.7507 0.1554  3 O 1.38
B 0.0940 0.7502 0.6809  4 O 1.45-1.56
B 0.2436 0.7531 0.0066  4 O 1.46-1.49
B 0.2460 0.5977 0.8339  4 O 1.45-1.56
B 0.2457 0.9034 0.8333  4 O 1.44-1.57
B 0.2540 0.5977 0.3339  4 O 1.45-1.56
B 0.2543 0.9034 0.3333  4 O 1.44-1.57
B 0.2564 0.7531 0.5066  4 O 1.46-1.49
B 0.4060 0.7502 0.1809  4 O 1.45-1.56
B 0.4510 0.7507 0.6554  3 O 1.38
B 0.4994 0.4970 0.2543  4 O 1.46-1.50
B 0.4996 0.0021 0.2535  4 O 1.46-1.49
B 0.5004 0.9979 0.7535  4 O 1.46-1.49
B 0.5006 0.5030 0.7543  4 O 1.46-1.50
B 0.5490 0.2493 0.1554  3 O 1.38
B 0.5940 0.2498 0.6809  4 O 1.45-1.56
B 0.7436 0.2469 0.0066  4 O 1.46-1.49
B 0.7457 0.0966 0.8333  4 O 1.44-1.57
B 0.7460 0.4023 0.8339  4 O 1.45-1.56
B 0.7543 0.0966 0.3333  4 O 1.44-1.57
B 0.7540 0.4023 0.3339  4 O 1.45-1.56
B 0.7564 0.2469 0.5066  4 O 1.46-1.49
B 0.9060 0.2498 0.1809  4 O 1.45-1.56
B 0.9510 0.2493 0.6554  3 O 1.38
B 0.9994 0.5030 0.2543  4 O 1.46-1.50
I 0.2422 0.2503 0.9998  3 Zn 2.73-2.77
I 0.2578 0.2503 0.4998  3 Zn 2.73-2.77
I 0.7422 0.7497 0.9998  3 Zn 2.73-2.77
I 0.7578 0.7497 0.4998  3 Zn 2.73-2.77
O 0.0329 0.1630 0.2324  2 B 1.46-1.47
O 0.0397 0.3304 0.7309  2 B 1.38-1.50
O 0.0406 0.9108 0.1514  2 B 1.38-1.49
O 0.0502 0.5902 0.6596  2 B 1.45-1.47
O 0.0872 0.5432 0.8527  2 B 1.46
O 0.0906 0.9427 0.3483  2 B 1.46-1.47
O 0.1201 0.6709 0.0705  2 B 1.38-1.49
O 0.1415 0.8260 0.5793  2 B 1.46-1.47
O 0.1661 0.0256 0.7744  2 B 1.44-1.46
O 0.1660 0.4822 0.2729  2 B 1.45-1.46
O 0.1707 0.8729 0.9386  2 B 1.46
O 0.1782 0.6371 0.4370  2 B 1.45-1.47
O 0.2321 0.7500 0.7643  3 B 1.56-1.57
O 0.2679 0.7500 0.2643  3 B 1.56-1.57
O 0.3218 0.6371 0.9370  2 B 1.45-1.47
O 0.3293 0.8729 0.4386  2 B 1.46
O 0.3339 0.0256 0.2744  2 B 1.44-1.46
O 0.3340 0.4822 0.7729  2 B 1.45-1.46
O 0.3585 0.8260 0.0793  2 B 1.46-1.47
O 0.3799 0.6709 0.5705  2 B 1.38-1.49
O 0.4094 0.9427 0.8483  2 B 1.46-1.47
O 0.4128 0.5432 0.3527  2 B 1.46
O 0.4498 0.5902 0.1596  2 B 1.45-1.47
O 0.4594 0.9108 0.6514  2 B 1.38-1.49
O 0.4603 0.3304 0.2309  2 B 1.38-1.50
O 0.4671 0.1630 0.7324  2 B 1.46-1.47
O 0.5329 0.8370 0.2324  2 B 1.46-1.47
O 0.5397 0.6696 0.7309  2 B 1.38-1.50
O 0.5406 0.0892 0.1514  2 B 1.38-1.49
O 0.5502 0.4098 0.6596  2 B 1.45-1.47
O 0.5872 0.4568 0.8527  2 B 1.46
O 0.5906 0.0573 0.3483  2 B 1.46-1.47
O 0.6201 0.3291 0.0705  2 B 1.38-1.49
O 0.6415 0.1740 0.5793  2 B 1.46-1.47
O 0.6660 0.5178 0.2729  2 B 1.45-1.46
O 0.6661 0.9744 0.7744  2 B 1.44-1.46
O 0.6707 0.1271 0.9386  2 B 1.46
O 0.6782 0.3629 0.4370  2 B 1.45-1.47
O 0.7321 0.2500 0.7643  3 B 1.56-1.57
O 0.7679 0.2500 0.2643  3 B 1.56-1.57
O 0.8218 0.3629 0.9370  2 B 1.45-1.47
O 0.8293 0.1271 0.4386  2 B 1.46
O 0.8340 0.5178 0.7729  2 B 1.45-1.46
O 0.8339 0.9744 0.2744  2 B 1.44-1.46
O 0.8585 0.1740 0.0793  2 B 1.46-1.47
O 0.8799 0.3291 0.5705  2 B 1.38-1.49
O 0.9094 0.0573 0.8483  2 B 1.46-1.47
O 0.9128 0.4568 0.3527  2 B 1.46
O 0.9498 0.4098 0.1596  2 B 1.45-1.47
O 0.9594 0.0892 0.6514  2 B 1.38-1.49
O 0.9603 0.6696 0.2309  2 B 1.38-1.50
O 0.9671 0.8370 0.7324  2 B 1.46-1.47

(3)
Density functional theory data (meta-GGA SCAN) for CuNiMo2 at its PBEsol-relaxed geometry.

Lattice parameters (Å, degrees): 8.9504 8.9504 8.9504 16.96 16.96 16.96
With the nearest neighbours (Å) after each atom.
Positions (direct):
Cu 0.0000 0.0000 0.0000  6 Cu 2.64, 6 Mo 2.73
Ni 0.5000 0.5000 0.5000  6 Mo 2.63, 6 Ni 2.64
Mo 0.2478 0.2478 0.2478  3 Ni 2.63, 6 Mo 2.64, 3 Cu 2.73
Mo 0.7522 0.7522 0.7522  3 Ni 2.63, 6 Mo 2.64, 3 Cu 2.73

For the records above, the corresponding calculated total energy values read -36.5887 -11.0853 -24.9575 eV/atom.